[1]
Compound: KMg2Bi2
Source: Alexandria
Functional: PBE
Structure: relaxed

Structure (CIF):
```
data_KMg2Bi2
_cell_length_a 9.147
_cell_length_b 9.147
_cell_length_c 3.560
_cell_angle_alpha 90.00
_cell_angle_beta 90.00
_cell_angle_gamma 90.00
_symmetry_space_group_name_H-M 'P 4/m b m'
_symmetry_Int_Tables_number 127
_symmetry_space_group_name_Hall '-P 4 2ab'
loop_
_atom_site_label
_atom_site_type_symbol
_atom_site_fract_x
_atom_site_fract_y
_atom_site_fract_z
_atom_site_occupancy
K1 K 0.000 0.000 0.000 1
Mg1 Mg 0.123 0.377 0.000 1
Bi1 Bi 0.168 0.668 0.500 1
```

Properties
E: -2.64 eV/atom
Offset from the most stable computed form: 106 meV/atom



[2]
Compound: Ti2RePt2
Source: Alexandria
Functional: PBE
Structure: relaxed

Structure (CIF):
```
data_Ti2RePt2
_cell_length_a 7.441
_cell_length_b 7.441
_cell_length_c 2.872
_cell_angle_alpha 90.00
_cell_angle_beta 90.00
_cell_angle_gamma 90.00
_symmetry_space_group_name_H-M 'P 4/m b m'
_symmetry_Int_Tables_number 127
_symmetry_space_group_name_Hall '-P 4 2ab'
loop_
_atom_site_label
_atom_site_type_symbol
_atom_site_fract_x
_atom_site_fract_y
_atom_site_fract_z
_atom_site_occupancy
Ti1 Ti 0.171 0.329 0.000 1
Re1 Re 0.000 0.000 0.500 1
Pt1 Pt 0.131 0.631 0.500 1
```

Properties
E: -8.52 eV/atom



[3]
Compound: Na2HgPdF8
Source: Alexandria
Functional: PBE
Structure: relaxed

Structure (CIF):
```
data_Na2HgPdF8
_cell_length_a 4.993
_cell_length_b 7.318
_cell_length_c 5.088
_cell_angle_alpha 90.00
_cell_angle_beta 93.44
_cell_angle_gamma 90.00
_symmetry_space_group_name_H-M 'P 1 2/m 1'
_symmetry_Int_Tables_number 10
loop_
_symmetry_equiv_pos_as_xyz
'x,y,z'
'-x,-y,-z'
'-x,y,-z'
'x,-y,z'
loop_
_atom_site_label
_atom_site_type_symbol
_atom_site_fract_x
_atom_site_fract_y
_atom_site_fract_z
_atom_site_occupancy
Na1 Na 0.000 0.242 0.000 1
Hg1 Hg 0.500 0.500 0.500 1
Pd1 Pd 0.500 0.000 0.500 1
F1 F 0.195 0.500 0.205 1
F2 F 0.211 0.000 0.225 1
F3 F 0.323 0.195 0.686 1
```

Properties
E: -3.80 eV/atom
Formation energy from raw total energies: -1879 meV per atom



| no. | calculated volume (Å³/atom) |
| --- | --- |
| 1 | 29.78 |
| 2 | 15.90 |
| 3 | 15.46 |